TlBSb3 after structural relaxation. Source: Alexandria, functional PBE-GGA.

Cell and atoms, written as POSCAR:
```
TlBSb3
1.0
4.992 0.000 0.000
0.000 4.992 0.000
0.000 0.000 4.992
Tl B Sb
1 1 3
direct
0.000 0.000 0.000
0.500 0.500 0.500
0.000 0.500 0.500
0.500 0.000 0.500
0.500 0.500 0.000
```

Results
Total energy   -3.638 eV/atom
Energy relative to the elements, uncorrected   3.2 eV per formula unit
Space-group type   Pm-3m, No. 221
ΔE to the lowest computed polymorph   0.0 kJ per mole of atoms